[1]
The following is a PBE-GGA calculation of a relaxed structure of KSmO3, from OQMD.

Properties
* total energy: -5.9135 eV per atom

Cell: 6.3637 6.3637 15.5372 Å, 90.00 90.00 120.00°
With the nearest neighbours (Å) after each atom.
Space group R-3c (No. 167, hexagonal axes)
Unique sites:
K 0.0000 0.0000 0.2500  9 O 2.97-3.18
Sm 0.0000 0.0000 0.0000  6 O 2.26
O 0.0000 0.4669 0.2500  2 Sm 2.26

[2]
The following is a PBE-GGA calculation of a relaxed structure of ZrInFePd, from OQMD.

Properties
* total energy: -6.5144 eV per atom

Cell: 6.5038 6.5038 6.5038 Å, 90.00 90.00 90.00°
With the nearest neighbours (Å) after each atom.
Space group F-43m (No. 216)
Unique sites:
Zr 0.0000 0.0000 0.0000  4 Fe 2.82, 4 Pd 2.82
In 0.0000 0.0000 0.5000  4 Pd 2.82, 4 Fe 2.82
Fe 0.2500 0.2500 0.7500  4 Zr 2.82, 4 In 2.82
Pd 0.2500 0.2500 0.2500  4 Zr 2.82, 4 In 2.82

[3]
The following is a PBE-GGA calculation of a relaxed structure of PtPbSO, from OQMD.

Properties
* total energy: -5.2460 eV per atom

Cell: 7.3044 8.6256 9.6318 Å, 90.00 90.00 90.00°
With the nearest neighbours (Å) after each atom.
Space group Pbca (No. 61)
Unique sites:
Pt 0.0037 0.1583 0.2488  2 O 2.07
Pb 0.2164 0.0925 0.5310  2 O 2.44-2.46
S 0.0532 0.0916 0.8381  2 Pt 2.35
O 0.2450 0.6571 0.1489  2 Pt 2.07

[4]
The following is a PBE-GGA calculation of a relaxed structure of LiFeTe2AuS, from OQMD.

Properties
* total energy: -4.0983 eV per atom

Cell: 3.9432 13.3288 9.9906 Å, 90.00 90.00 90.00°
With the nearest neighbours (Å) after each atom.
Space group Cmcm (No. 63)
Unique sites:
Li 0.0000 0.2442 0.2500  2 Au 2.66, 2 Te 2.87
Fe 0.0000 0.0000 0.0000  2 S 2.53, 4 Te 2.69
Te 0.0000 0.3629 0.0099  1 Au 2.62, 2 Fe 2.69, 1 Li 2.87
Au 0.0000 0.3903 0.7500  2 Te 2.62, 2 Li 2.66, 2 S 2.72
S 0.0000 0.0307 0.7500  2 Fe 2.53, 2 Au 2.72

[5]
The following is a PBE-GGA calculation of a relaxed structure of RbInW, from OQMD.

Properties
* total energy: -3.6546 eV per atom

Cell: 7.1404 7.1404 7.1404 Å, 90.00 90.00 90.00°
With the nearest neighbours (Å) after each atom.
Space group F-43m (No. 216)
Unique sites:
Rb 0.0000 0.0000 0.0000  4 W 3.09
In 0.0000 0.0000 0.5000  4 W 3.09
W 0.2500 0.2500 0.7500  4 In 3.09, 4 Rb 3.09

[6]
The following is a PBE-GGA calculation of a relaxed structure of Nd2Ho2Al, from OQMD.

Properties
* total energy: -4.5119 eV per atom

Cell: 3.7382 7.9186 10.5654 Å, 90.00 90.00 90.00°
With the nearest neighbours (Å) after each atom.
Space group Immm (No. 71)
Unique sites:
Nd 0.0000 0.0000 0.2491  2 Al 3.23, 2 Ho 3.53
Ho 0.0000 0.2979 0.0000  2 Al 3.01, 1 Ho 3.20
Al 0.0000 0.5000 0.5000  4 Ho 3.01, 4 Nd 3.23

[7]
The following is a PBE-GGA calculation of a relaxed structure of Hf2Cd3Ag, from OQMD.

Properties
* total energy: -4.1696 eV per atom
* energy relative to the elements: 0.067 eV per atom

Cell: 3.3600 3.3600 10.6728 Å, 90.00 90.00 90.00°
With the nearest neighbours (Å) after each atom.
Space group P4mm (No. 99)
Unique sites:
Hf 0.0000 0.0000 0.0000  4 Ag 2.91, 4 Cd 3.03
Hf 0.5000 0.5000 0.4793  8 Cd 3.00-3.05
Cd 0.0000 0.0000 0.3078  4 Ag 2.86, 4 Hf 3.00
Cd 0.0000 0.0000 0.6582  4 Cd 2.96, 4 Hf 3.05
Cd 0.5000 0.5000 0.8237  4 Cd 2.96, 4 Hf 3.03
Ag 0.5000 0.5000 0.1578  4 Cd 2.86, 4 Hf 2.91

[8]
The following is a PBE-GGA calculation of a relaxed structure of Dy2TeO5, from OQMD.

Properties
* total energy: -7.1677 eV per atom

Cell: 12.0048 5.6691 7.7113 Å, 90.00 115.91 90.00°
With the nearest neighbours (Å) after each atom.
Space group C2/c (No. 15)
Unique sites:
Dy 0.1383 0.0010 0.2506  5 O 2.18-2.39
Te 0.0000 0.5000 0.0000  6 O 2.16-2.23
O 0.0000 0.3026 0.7500  2 Te 2.23, 2 Dy 2.39
O 0.0743 0.1645 0.4563  1 Te 2.19, 2 Dy 2.24-2.26
O 0.1801 0.3390 0.1539  1 Te 2.16, 2 Dy 2.18-2.19

[9]
The following is a PBE-GGA calculation of a relaxed structure of Ba3Sb4Pd4, from OQMD.

Properties
* total energy: -4.7657 eV per atom

Cell: 4.7257 4.8640 13.7421 Å, 99.56 99.88 90.10°
With the nearest neighbours (Å) after each atom.
Space group P-1 (No. 2)
Unique sites:
Ba 0.0000 0.0000 0.0000  4 Pd 3.63-3.64, 8 Sb 3.69-3.70
Ba 0.3494 0.8563 0.6976  8 Pd 3.45-3.78, 6 Sb 3.53-3.70
Sb 0.2005 0.6762 0.4031  5 Pd 2.68-2.78
Sb 0.4444 0.4461 0.8896  2 Pd 2.66, 1 Sb 2.95
Pd 0.1014 0.5929 0.2023  3 Sb 2.66-2.68
Pd 0.2503 0.2118 0.4978  4 Sb 2.70-2.78

[10]
The following is a PBE-GGA calculation of a relaxed structure of CsPuAl, from OQMD.

Properties
* total energy: -5.0016 eV per atom

Cell: 7.4992 7.4992 7.4992 Å, 90.00 90.00 90.00°
With the nearest neighbours (Å) after each atom.
Space group F-43m (No. 216)
Unique sites:
Cs 0.0000 0.0000 0.0000  4 Al 3.25, 4 Pu 3.25
Pu 0.2500 0.2500 0.2500  4 Cs 3.25
Al 0.2500 0.2500 0.7500  4 Cs 3.25

[11]
The following is a PBE-GGA calculation of a relaxed structure of NdSmSb2Te2, from OQMD.

Properties
* total energy: -5.1660 eV per atom

Cell: 4.3448 4.3448 9.4754 Å, 90.00 90.00 90.00°
With the nearest neighbours (Å) after each atom.
Space group P4mm (No. 99)
Unique sites:
Nd 0.0000 0.0000 0.0000  5 Te 3.22-3.34, 4 Sb 3.40
Sm 0.5000 0.5000 0.4509  5 Te 3.21-3.30, 4 Sb 3.38
Sb 0.0000 0.5000 0.7240  4 Sb 3.07, 2 Sm 3.38, 2 Nd 3.40
Te 0.0000 0.0000 0.3521  4 Sm 3.21, 1 Nd 3.34
Te 0.5000 0.5000 0.1031  4 Nd 3.22, 1 Sm 3.30

[12]
The following is a PBE-GGA calculation of a relaxed structure of LaPmI2N2, from OQMD.

Properties
* total energy: -5.9308 eV per atom

Cell: 4.0534 4.0534 9.6179 Å, 90.00 90.00 90.00°
With the nearest neighbours (Å) after each atom.
Space group P4mm (No. 99)
Unique sites:
La 0.0000 0.0000 0.0000  4 N 2.42
Pm 0.5000 0.5000 0.7341  4 N 2.38
I 0.0000 0.0000 0.5324  4 Pm 3.46, 4 N 3.77
I 0.5000 0.5000 0.2005  4 La 3.45, 4 N 3.83
N 0.0000 0.5000 0.8631  2 Pm 2.38, 2 La 2.42